Record 1
Here is a relaxed structure of K2In3AgF12 from the Alexandria database. Energies are from GGA-PBE.

POSCAR file:
```
K2In3AgF12
1.0
-3.128 -5.505 4.044
-3.757 -5.140 -3.989
3.382 -6.684 -0.569
K In Ag F
2 3 1 12
Direct
0.632 0.632 0.632
0.368 0.368 0.368
0.500 0.000 0.000
0.000 0.500 0.000
0.000 0.000 0.500
0.000 0.000 0.000
0.289 0.289 0.897
0.874 0.874 0.406
0.406 0.874 0.874
0.897 0.289 0.289
0.874 0.406 0.874
0.289 0.897 0.289
0.711 0.711 0.103
0.126 0.126 0.594
0.594 0.126 0.126
0.103 0.711 0.711
0.126 0.594 0.126
0.711 0.103 0.711
```

The density of states at the Fermi level comes out at 0.00 states/eV/cell. As for the crystal system: trigonal. Its total moment is 0.14 μB per formula unit. The total energy is -79.26 eV per formula unit. For the theoretical density, the calculation gives 3.79 g/cm³. The calculation puts the uncorrected formation energy at -55.8 kcal/mol of atoms.

***

Record 2
Here is a relaxed structure of KInAg2F6 from the Alexandria database. Energies are from GGA-PBE.

POSCAR file:
```
KInAg2F6
1.0
6.110 0.000 0.013
0.000 6.367 0.000
0.070 0.000 8.785
K In Ag F
2 2 4 12
Direct
0.500 0.000 0.000
0.000 0.500 0.500
0.500 0.000 0.500
0.000 0.500 0.000
0.009 0.957 0.268
0.509 0.543 0.768
0.991 0.043 0.732
0.491 0.457 0.232
0.297 0.655 0.037
0.797 0.845 0.537
0.703 0.345 0.963
0.203 0.155 0.463
0.355 0.733 0.396
0.855 0.767 0.896
0.645 0.267 0.604
0.145 0.233 0.104
0.877 0.611 0.214
0.377 0.889 0.714
0.123 0.389 0.786
0.623 0.111 0.286
```

The density of states at the Fermi level comes out at 0.00 states/eV/cell. As for the crystal system: monoclinic. Its total moment is 0.00 μB per formula unit. The total energy is -40.68 eV per formula unit. For the theoretical density, the calculation gives 4.70 g/cm³. The calculation puts the uncorrected formation energy at -45.9 kcal/mol of atoms.

***

Record 3
Here is a relaxed structure of K2InAgF6 from the Alexandria database. Energies are from GGA-PBE.

POSCAR file:
```
K2InAgF6
1.0
-3.482 5.162 0.121
-4.539 -3.145 3.554
4.123 2.602 7.568
K In Ag F
4 2 2 12
Direct
0.500 0.790 0.229
0.000 0.210 0.729
0.500 0.790 0.771
0.000 0.210 0.271
0.500 0.226 0.500
0.000 0.774 0.000
0.000 0.719 0.500
0.500 0.281 0.000
0.500 0.212 0.267
0.500 0.212 0.733
0.000 0.788 0.233
0.000 0.788 0.767
0.263 0.996 0.500
0.737 0.996 0.500
0.249 0.438 0.500
0.751 0.438 0.500
0.749 0.562 0.000
0.251 0.562 0.000
0.237 0.004 0.000
0.763 0.004 0.000
```

The density of states at the Fermi level comes out at 0.00 states/eV/cell. As for the crystal system: orthorhombic. Its total moment is 0.00 μB per formula unit. The total energy is -42.54 eV per formula unit. For the theoretical density, the calculation gives 3.74 g/cm³. The calculation puts the uncorrected formation energy at -54.3 kcal/mol of atoms. The energy above the most stable polymorph in this dataset comes out at 0 meV/atom.

***

Record 4
Here is a relaxed structure of K2InAgF6 from the Alexandria database. Energies are from GGA-PBE.

POSCAR file:
```
K2InAgF6
1.0
-6.096 -0.783 -1.681
-1.630 -4.710 -3.969
-3.287 -5.006 2.176
K In Ag F
2 1 1 6
Direct
0.250 0.250 0.250
0.750 0.750 0.750
0.000 0.000 0.000
0.500 0.500 0.500
0.233 0.233 0.767
0.233 0.767 0.767
0.767 0.767 0.233
0.233 0.767 0.233
0.767 0.233 0.767
0.767 0.233 0.233
```

The density of states at the Fermi level comes out at 0.00 states/eV/cell. As for the crystal system: cubic. Its total moment is 0.00 μB per formula unit. The total energy is -42.52 eV per formula unit. For the theoretical density, the calculation gives 3.77 g/cm³. The calculation puts the uncorrected formation energy at -54.2 kcal/mol of atoms. The energy above the most stable polymorph in this dataset comes out at 3 meV/atom.

***

Record 5
Here is a relaxed structure of LaInAg2F8 from the Alexandria database. Energies are from GGA-PBE.

POSCAR file:
```
LaInAg2F8
1.0
4.013 -0.128 -0.002
-0.079 5.930 -0.006
0.004 0.009 7.751
La In Ag F
1 1 2 8
Direct
0.000 0.000 0.500
0.000 0.000 0.000
0.500 0.500 0.770
0.500 0.500 0.230
0.031 0.786 0.230
0.537 0.794 0.000
0.969 0.214 0.230
0.969 0.214 0.770
0.463 0.206 0.000
0.031 0.786 0.770
0.496 0.769 0.500
0.504 0.231 0.500
```

The density of states at the Fermi level comes out at 0.00 states/eV/cell. As for the crystal system: monoclinic. Its total moment is 0.17 μB per formula unit. The total energy is -58.53 eV per formula unit. For the theoretical density, the calculation gives 5.60 g/cm³. The calculation puts the uncorrected formation energy at -58.0 kcal/mol of atoms.

***

Record 6
Here is a relaxed structure of LiInAg2F6 from the Alexandria database. Energies are from GGA-PBE.

POSCAR file:
```
LiInAg2F6
1.0
5.762 0.000 -0.005
0.000 5.791 0.000
0.046 0.000 8.169
Li In Ag F
2 2 4 12
Direct
0.500 0.000 0.000
0.000 0.500 0.500
0.500 0.000 0.500
0.000 0.500 0.000
0.005 0.964 0.251
0.505 0.536 0.751
0.995 0.036 0.749
0.495 0.464 0.249
0.307 0.695 0.035
0.807 0.805 0.535
0.693 0.305 0.965
0.193 0.195 0.465
0.307 0.694 0.460
0.807 0.806 0.960
0.693 0.306 0.540
0.193 0.194 0.040
0.926 0.525 0.253
0.426 0.975 0.753
0.074 0.475 0.747
0.574 0.025 0.247
```

As for the crystal system: monoclinic. Its total moment is 0.00 μB per formula unit. The total energy is -41.53 eV per formula unit. For the theoretical density, the calculation gives 5.50 g/cm³. The calculation puts the uncorrected formation energy at -46.0 kcal/mol of atoms.

***

Record 7
Here is a relaxed structure of Li2InAgF8 from the Alexandria database. Energies are from GGA-PBE.

POSCAR file:
```
Li2InAgF8
1.0
5.886 0.602 0.000
-2.071 5.542 0.000
-1.907 -3.072 4.683
Li In Ag F
2 1 1 8
Direct
0.750 0.250 0.500
0.500 0.500 0.000
0.000 0.000 0.000
0.250 0.750 0.500
0.370 0.069 0.301
0.287 0.485 0.197
0.287 0.090 0.803
0.768 0.069 0.699
0.910 0.713 0.197
0.931 0.232 0.301
0.931 0.630 0.699
0.515 0.713 0.803
```

The density of states at the Fermi level comes out at 5.87 states/eV/cell. As for the crystal system: tetragonal. Its total moment is 0.00 μB per formula unit. The total energy is -49.68 eV per formula unit. For the theoretical density, the calculation gives 4.07 g/cm³. The calculation puts the uncorrected formation energy at -48.6 kcal/mol of atoms.

***

Record 8
Here is a relaxed structure of MgInAg2F6 from the Alexandria database. Energies are from GGA-PBE.

POSCAR file:
```
MgInAg2F6
1.0
5.880 0.000 -0.023
0.000 5.869 0.000
0.017 0.000 8.272
Mg In Ag F
2 2 4 12
Direct
0.500 0.000 0.000
0.000 0.500 0.500
0.500 0.000 0.500
0.000 0.500 0.000
0.008 0.969 0.248
0.508 0.531 0.748
0.992 0.031 0.752
0.492 0.469 0.252
0.299 0.724 0.043
0.799 0.776 0.543
0.701 0.276 0.957
0.201 0.224 0.457
0.271 0.707 0.452
0.771 0.793 0.952
0.729 0.293 0.548
0.229 0.207 0.048
0.912 0.512 0.261
0.412 0.988 0.761
0.088 0.488 0.739
0.588 0.012 0.239
```

The density of states at the Fermi level comes out at 4.09 states/eV/cell. As for the crystal system: monoclinic. Its total moment is 0.00 μB per formula unit. The total energy is -42.07 eV per formula unit. For the theoretical density, the calculation gives 5.45 g/cm³. The calculation puts the uncorrected formation energy at -48.0 kcal/mol of atoms.